# 1
ScZnCoSi, optimized geometry, DFT GGA-PBE; VASP energy = -20.80 eV for the cell shown
1.0
0.772 -2.187 3.647
-3.296 -1.415 2.410
-0.865 -4.229 0.208
Co Si Sc Zn
1 1 1 1
direct
0.750 0.750 0.750 Co
0.250 0.250 0.250 Si
0.000 0.000 0.000 Sc
0.500 0.500 0.500 Zn

---

# 2
Pr2ErSn3PdPt2, optimized geometry, DFT GGA-PBE; VASP energy = -52.51 eV for the cell shown
1.0
-0.184 -3.367 2.331
5.038 3.057 4.813
-7.439 1.165 1.095
Pr Sn Pd Pt Er
2 3 1 2 1
direct
0.000 0.412 0.001 Pr
0.000 0.001 0.412 Pr
0.500 0.746 0.997 Sn
0.500 0.997 0.746 Sn
0.500 0.254 0.254 Sn
0.000 0.993 0.993 Pd
0.500 0.663 0.344 Pt
0.500 0.344 0.663 Pt
0.000 0.591 0.591 Er

---

# 3
Zr4O11, optimized geometry, DFT GGA-PBE; VASP energy = -123.83 eV for the cell shown
1.0
7.529 8.134 -5.191
1.875 -3.526 3.679
-1.585 -2.105 -3.026
O Zr
11 4
direct
0.852 0.620 0.566 O
0.126 0.329 0.628 O
0.282 0.929 0.231 O
0.844 0.104 0.379 O
0.569 0.522 0.004 O
0.683 0.075 0.731 O
0.218 0.146 0.915 O
0.015 0.512 0.194 O
0.429 0.805 0.835 O
0.043 0.079 0.243 O
0.596 0.468 0.357 O
0.840 0.987 0.824 Zr
0.365 0.080 0.838 Zr
0.048 0.679 0.800 Zr
0.646 0.096 0.209 Zr

---

# 4
Y2Ho3LuBi2Os, optimized geometry, DFT GGA-PBE; VASP energy = -55.45 eV for the cell shown
1.0
4.231 0.000 0.000
0.000 7.122 4.150
0.000 -7.122 4.150
Bi Y Ho Lu Os
2 2 3 1 1
direct
0.000 0.332 0.664 Bi
0.000 0.664 0.332 Bi
0.000 0.998 0.766 Y
0.000 0.766 0.998 Y
0.500 0.605 0.605 Ho
0.500 0.383 0.999 Ho
0.500 0.999 0.383 Ho
0.000 0.236 0.236 Lu
0.500 0.017 0.017 Os

---

# 5
Dy4Lu4B3, optimized geometry, DFT GGA-PBE; VASP energy = -55.59 eV for the cell shown
1.0
-1.000 -2.875 2.206
-2.191 -1.535 -3.484
13.442 -6.993 -4.025
Lu Dy B
4 4 3
direct
0.983 0.781 0.832 Lu
0.526 0.769 0.296 Lu
0.017 0.219 0.168 Lu
0.474 0.231 0.704 Lu
0.958 0.713 0.577 Dy
0.488 0.728 0.073 Dy
0.512 0.272 0.927 Dy
0.042 0.287 0.423 Dy
0.477 0.866 0.461 B
0.523 0.134 0.539 B
0.000 0.000 0.000 B

---

# 6
BeGa2Co, optimized geometry, DFT GGA-PBE; VASP energy = -16.23 eV for the cell shown
1.0
3.685 -1.365 1.151
0.505 -1.647 3.715
0.666 -4.022 0.383
Co Ga Be
1 2 1
direct
0.250 0.250 0.250 Co
0.000 0.000 0.000 Ga
0.750 0.750 0.750 Ga
0.500 0.500 0.500 Be

---

# 7
Nd2ErCo2B2N3, optimized geometry, DFT GGA-PBE; VASP energy = -77.60 eV for the cell shown
1.0
-1.794 1.794 9.873
1.794 -1.794 9.873
1.794 1.794 -9.873
N Nd Co B Er
3 2 2 2 1
direct
0.119 0.119 0.000 N
0.881 0.881 0.000 N
0.500 0.500 0.000 N
0.626 0.626 0.000 Nd
0.374 0.374 0.000 Nd
0.250 0.750 0.500 Co
0.750 0.250 0.500 Co
0.805 0.805 0.000 B
0.195 0.195 0.000 B
0.000 0.000 0.000 Er

---

# 8
ScFe2, optimized geometry, DFT GGA-PBE; energy relative to the elements = -0.2550 eV/atom
1.0
4.895 0.000 0.000
-2.447 4.239 0.000
0.000 0.000 8.018
Sc Fe
4 8
direct
0.333 0.667 0.437 Sc
0.667 0.333 0.937 Sc
0.333 0.667 0.063 Sc
0.667 0.333 0.563 Sc
0.168 0.832 0.750 Fe
0.832 0.168 0.250 Fe
0.168 0.336 0.750 Fe
0.000 0.000 0.000 Fe
0.336 0.168 0.250 Fe
0.664 0.832 0.750 Fe
0.832 0.664 0.250 Fe
0.000 0.000 0.500 Fe

---

# 9
Li16Nb2N8O, optimized geometry, DFT GGA-PBE; VASP energy = -146.02 eV for the cell shown
1.0
1.395 -3.722 -4.439
-3.863 4.438 -0.937
4.608 7.783 -1.080
Li N O Nb
16 8 1 2
direct
0.078 0.922 0.234 Li
0.583 0.417 0.750 Li
0.417 0.583 0.250 Li
0.945 0.332 0.929 Li
0.169 0.422 0.575 Li
0.422 0.827 0.425 Li
0.316 0.055 0.929 Li
0.922 0.078 0.766 Li
0.831 0.578 0.425 Li
0.055 0.668 0.071 Li
0.173 0.169 0.425 Li
0.578 0.173 0.575 Li
0.668 0.684 0.929 Li
0.827 0.831 0.575 Li
0.684 0.945 0.071 Li
0.332 0.316 0.071 Li
0.090 0.538 0.326 N
0.462 0.226 0.326 N
0.538 0.774 0.674 N
0.774 0.910 0.326 N
0.910 0.462 0.674 N
0.226 0.090 0.674 N
0.327 0.673 0.982 N
0.673 0.327 0.018 N
0.000 0.000 0.000 O
0.250 0.750 0.749 Nb
0.750 0.250 0.251 Nb

---

# 10
ErNbGa, optimized geometry, DFT GGA-PBE; VASP energy = -15.04 eV for the cell shown
1.0
0.000 3.379 3.379
3.379 0.000 3.379
3.379 3.379 0.000
Nb Er Ga
1 1 1
direct
0.750 0.750 0.750 Nb
0.000 0.000 0.000 Er
0.250 0.250 0.250 Ga

---

# 11
ErAgGeSe2S, optimized geometry, DFT GGA-PBE; VASP energy = -55.27 eV for the cell shown
1.0
2.001 -6.581 0.000
2.001 6.581 0.000
0.000 0.000 10.244
S Se Ge Ag Er
2 4 2 2 2
direct
0.402 0.598 0.750 S
0.598 0.402 0.250 S
0.850 0.150 0.445 Se
0.150 0.850 0.555 Se
0.150 0.850 0.945 Se
0.850 0.150 0.055 Se
0.762 0.238 0.750 Ge
0.238 0.762 0.250 Ge
0.027 0.973 0.750 Ag
0.973 0.027 0.250 Ag
0.500 0.500 0.500 Er
0.500 0.500 0.000 Er

---

# 12
GaCuPd4, optimized geometry, DFT GGA-PBE; VASP energy = -29.82 eV for the cell shown
1.0
-5.195 1.125 1.578
3.121 -4.549 -0.552
1.272 0.400 3.899
Pd Ga Cu
4 1 1
direct
0.845 0.155 0.500 Pd
0.345 0.655 0.000 Pd
0.655 0.345 0.000 Pd
0.155 0.845 0.500 Pd
0.500 0.500 0.500 Ga
0.000 0.000 0.000 Cu